A plane-wave DFT calculation with PBE was carried out for a relaxed LiSiC2Cl crystal.

CIF file:
```
data_LiSiC2Cl
_chemical_formula_sum 'Li1 Si1 C2 Cl1'
_cell_length_a 4.197
_cell_length_b 3.993
_cell_length_c 4.197
_cell_angle_alpha 90.00
_cell_angle_beta 90.00
_cell_angle_gamma 90.00
_symmetry_space_group_name_H-M 'P 1'
_symmetry_Int_Tables_number 1
_symmetry_space_group_name_Hall 'P 1'
loop_
_atom_site_label
_atom_site_type_symbol
_atom_site_fract_x
_atom_site_fract_y
_atom_site_fract_z
Si1 Si 0.500 0.500 0.500
Li1 Li 0.000 0.500 0.000
C1 C 0.000 0.000 0.500
C2 C 0.500 0.000 0.000
Cl1 Cl 0.000 0.000 0.000
```

**Energy relative to the elements, uncorrected**: 2.23 eV per atom
**Total magnetization**: 0.000 μB/f.u.

A plane-wave DFT calculation with PBE was carried out for a relaxed CaAc crystal.

CIF file:
```
data_CaAc
_chemical_formula_sum 'Ca1 Ac1'
_cell_length_a 4.423
_cell_length_b 4.423
_cell_length_c 4.423
_cell_angle_alpha 90.00
_cell_angle_beta 90.00
_cell_angle_gamma 90.00
_symmetry_space_group_name_H-M 'P 1'
_symmetry_Int_Tables_number 1
_symmetry_space_group_name_Hall 'P 1'
loop_
_atom_site_label
_atom_site_type_symbol
_atom_site_fract_x
_atom_site_fract_y
_atom_site_fract_z
Ac1 Ac 0.000 0.000 0.000
Ca1 Ca 0.500 0.500 0.500
```

**E above lowest polymorph**: 29 meV per atom
**Total magnetization**: 0.000 μB/f.u.
**Energy of formation from the pure elements**: 0.0462 eV per atom

A plane-wave DFT calculation with PBE was carried out for a relaxed RbMg3Mn crystal.

CIF file:
```
data_RbMg3Mn
_chemical_formula_sum 'Rb1 Mg3 Mn1'
_cell_length_a 5.418
_cell_length_b 5.418
_cell_length_c 5.418
_cell_angle_alpha 90.00
_cell_angle_beta 90.00
_cell_angle_gamma 90.00
_symmetry_space_group_name_H-M 'P 1'
_symmetry_Int_Tables_number 1
_symmetry_space_group_name_Hall 'P 1'
loop_
_atom_site_label
_atom_site_type_symbol
_atom_site_fract_x
_atom_site_fract_y
_atom_site_fract_z
Mg1 Mg 0.000 0.500 0.000
Mg2 Mg 0.000 0.000 0.500
Mg3 Mg 0.500 0.000 0.000
Mn1 Mn 0.000 0.000 0.000
Rb1 Rb 0.500 0.500 0.500
```

**Total magnetization**: 3.762 μB/f.u.
**Energy of formation from the pure elements**: 0.4687 eV per atom

A plane-wave DFT calculation with PBE was carried out for a relaxed TaB3C crystal.

CIF file:
```
data_TaB3C
_chemical_formula_sum 'Ta1 B3 C1'
_cell_length_a 4.294
_cell_length_b 4.294
_cell_length_c 4.294
_cell_angle_alpha 90.00
_cell_angle_beta 90.00
_cell_angle_gamma 90.00
_symmetry_space_group_name_H-M 'P 1'
_symmetry_Int_Tables_number 1
_symmetry_space_group_name_Hall 'P 1'
loop_
_atom_site_label
_atom_site_type_symbol
_atom_site_fract_x
_atom_site_fract_y
_atom_site_fract_z
C1 C 0.500 0.500 0.500
B1 B 0.000 0.500 0.000
B2 B 0.000 0.000 0.500
B3 B 0.500 0.000 0.000
Ta1 Ta 0.000 0.000 0.000
```

**E above lowest polymorph**: 1512 meV per atom
**Total magnetization**: 0.361 μB/f.u.
**Energy of formation from the pure elements**: 2.9049 eV per atom

A plane-wave DFT calculation with PBE was carried out for a relaxed NdTmPu2S4 crystal.

CIF file:
```
data_NdTmPu2S4
_chemical_formula_sum 'Nd1 Tm1 Pu2 S4'
_cell_length_a 3.952
_cell_length_b 6.922
_cell_length_c 6.809
_cell_angle_alpha 109.49
_cell_angle_beta 90.00
_cell_angle_gamma 90.00
_symmetry_space_group_name_H-M 'P 1'
_symmetry_Int_Tables_number 1
_symmetry_space_group_name_Hall 'P 1'
loop_
_atom_site_label
_atom_site_type_symbol
_atom_site_fract_x
_atom_site_fract_y
_atom_site_fract_z
Nd1 Nd 0.000 0.000 0.000
Tm1 Tm 0.500 0.500 0.000
Pu1 Pu 0.500 0.000 0.500
Pu2 Pu 0.000 0.500 0.500
S1 S 0.500 0.261 0.253
S2 S 0.500 0.739 0.747
S3 S 0.000 0.259 0.754
S4 S 0.000 0.741 0.246
```

**Energy relative to the elements, uncorrected**: -1.88 eV per atom
**Total magnetization**: 0.170 μB/f.u.

A plane-wave DFT calculation with PBE was carried out for a relaxed CaLa6Y2 crystal.

CIF file:
```
data_CaLa6Y2
_chemical_formula_sum 'Ca1 La6 Y2'
_cell_length_a 6.182
_cell_length_b 6.182
_cell_length_c 11.896
_cell_angle_alpha 90.00
_cell_angle_beta 90.00
_cell_angle_gamma 120.00
_symmetry_space_group_name_H-M 'P 1'
_symmetry_Int_Tables_number 1
_symmetry_space_group_name_Hall 'P 1'
loop_
_atom_site_label
_atom_site_type_symbol
_atom_site_fract_x
_atom_site_fract_y
_atom_site_fract_z
Ca1 Ca 0.000 0.000 0.000
La1 La 0.319 0.319 0.734
La2 La 0.681 0.000 0.734
La3 La 0.000 0.681 0.734
La4 La 0.319 0.000 0.266
La5 La 0.000 0.319 0.266
La6 La 0.681 0.681 0.266
Y1 Y 0.667 0.333 0.500
Y2 Y 0.333 0.667 0.500
```

**Total magnetization**: 0.003 μB/f.u.
**Energy of formation from the pure elements**: 0.4653 eV per atom

A plane-wave DFT calculation with PBE was carried out for a relaxed LaFe2PN crystal.

CIF file:
```
data_LaFe2PN
_chemical_formula_sum 'La2 Fe4 P2 N2'
_cell_length_a 3.767
_cell_length_b 5.632
_cell_length_c 6.789
_cell_angle_alpha 90.00
_cell_angle_beta 90.00
_cell_angle_gamma 109.54
_symmetry_space_group_name_H-M 'P 1'
_symmetry_Int_Tables_number 1
_symmetry_space_group_name_Hall 'P 1'
loop_
_atom_site_label
_atom_site_type_symbol
_atom_site_fract_x
_atom_site_fract_y
_atom_site_fract_z
La1 La 0.450 0.899 0.750
La2 La 0.550 0.101 0.250
Fe1 Fe 0.166 0.332 0.945
Fe2 Fe 0.834 0.668 0.055
Fe3 Fe 0.166 0.332 0.555
Fe4 Fe 0.834 0.668 0.445
P1 P 0.727 0.454 0.750
P2 P 0.273 0.546 0.250
N1 N 0.000 0.000 0.000
N2 N 0.000 0.000 0.500
```

**Energy relative to the elements, uncorrected**: -0.84 eV per atom
**Total magnetization**: 0.000 μB/f.u.

A plane-wave DFT calculation with PBE was carried out for a relaxed NaThCuAu crystal.

CIF file:
```
data_NaThCuAu
_chemical_formula_sum 'Na1 Th1 Cu1 Au1'
_cell_length_a 5.018
_cell_length_b 5.018
_cell_length_c 5.018
_cell_angle_alpha 60.00
_cell_angle_beta 60.00
_cell_angle_gamma 60.00
_symmetry_space_group_name_H-M 'P 1'
_symmetry_Int_Tables_number 1
_symmetry_space_group_name_Hall 'P 1'
loop_
_atom_site_label
_atom_site_type_symbol
_atom_site_fract_x
_atom_site_fract_y
_atom_site_fract_z
Na1 Na 0.500 0.500 0.500
Au1 Au 0.750 0.750 0.750
Cu1 Cu 0.250 0.250 0.250
Th1 Th 0.000 0.000 0.000
```

**Total magnetization**: 0.000 μB/f.u.
**Energy of formation from the pure elements**: -0.1701 eV per atom

- Look up the total magnetization of the first one.
  0.000 μB/f.u.

- Look up the total magnetization of the fourth one.
  0.361 μB/f.u.

- total magnetization of number 1 (LiSiC2Cl)?
  0.000 μB/f.u.